FeSiPt2 after structural relaxation. Source: Alexandria, functional PBE.

Raw total energy (eV per atom): -6.755
Spin magnetization (μB per formula unit): 3.2
Raw formation energy (eV per atom): -0.2631

CIF file:
```
data_FeSiPt2
_chemical_formula_sum 'Fe1 Si1 Pt2'
_symmetry_space_group_name_H-M 'P m m 2'
_symmetry_Int_Tables_number 25
_cell_length_a 2.817
_cell_length_b 3.838
_cell_length_c 5.299
_cell_angle_alpha 90.00
_cell_angle_beta 90.00
_cell_angle_gamma 90.00
loop_
_symmetry_equiv_pos_as_xyz
'x,y,z'
'-x,-y,z'
'-x,y,z'
'x,-y,z'
loop_
_atom_site_label
_atom_site_type_symbol
_atom_site_fract_x
_atom_site_fract_y
_atom_site_fract_z
Fe1 Fe 0.000 0.000 0.000
Si1 Si 0.500 0.500 0.713
Pt1 Pt 0.000 0.000 0.517
Pt2 Pt 0.500 0.500 0.192
```